! TlNiMoIr, relaxed, DFT PBE; values from VASP
! Total energy, eV per atom: -6.477
&SYSTEM
  ibrav = 0, nat = 4, ntyp = 4
/
ATOMIC_SPECIES
Ni 58.69 Ni.upf
Ir 192.22 Ir.upf
Mo 95.94 Mo.upf
Tl 204.38 Tl.upf
ATOMIC_POSITIONS angstrom
Ni 4.746 4.746 4.746
Ir 3.164 3.164 3.164
Mo 1.582 1.582 1.582
Tl 0.000 0.000 0.000
CELL_PARAMETERS angstrom
0.000 3.164 3.164
3.164 0.000 3.164
3.164 3.164 0.000